1.
A plane-wave DFT calculation with meta-GGA SCAN was carried out for a crystal of Pd3NCl relaxed with PBEsol.

Values from the calculation:
M_tot, Bohr magnetons per cell: 0.00
DFT total energy, eV per atom: -22.809
Formation energy without anion corrections, eV per atom: 0.31

a = 4.1365 Å, b = 4.1365 Å, c = 4.1365 Å
α = 90.00°, β = 90.00°, γ = 90.00°
Space group Pm-3m (No. 221)
One atom of each set of equivalent atoms:
Pd1 0.0000 0.0000 0.5000
N1 0.0000 0.0000 0.0000
Cl1 0.5000 0.5000 0.5000

2.
A plane-wave DFT calculation with meta-GGA SCAN was carried out for a crystal of Pr2NCl3 relaxed with PBEsol.

Values from the calculation:
M_tot, Bohr magnetons per cell: 0.00
DFT total energy, eV per atom: -22.366
Formation energy without anion corrections, eV per atom: -2.39

a = 6.7716 Å, b = 13.5456 Å, c = 6.0822 Å
α = 90.00°, β = 90.00°, γ = 90.00°
Space group Ibam (No. 72)
One atom of each set of equivalent atoms:
Pr1 0.1783 0.0942 0.0000
N1 0.0000 0.0000 0.2500
Cl1 0.0000 0.5000 0.2500
Cl2 0.1837 0.1999 0.5000

3.
A plane-wave DFT calculation with meta-GGA SCAN was carried out for a crystal of Pr5S2N3Cl2 relaxed with PBEsol.

Values from the calculation:
M_tot, Bohr magnetons per cell: 0.00
DFT total energy, eV per atom: -25.348
Formation energy without anion corrections, eV per atom: -2.04

a = 15.6703 Å, b = 4.0327 Å, c = 16.7565 Å
α = 90.00°, β = 102.08°, γ = 90.00°
Space group C2/m (No. 12)
One atom of each set of equivalent atoms:
Pr1 0.0179 0.0000 0.1652
Pr2 0.0749 0.0000 0.5956
Pr3 0.1153 0.5000 0.0307
Pr4 0.1414 0.5000 0.4234
Pr5 0.2342 0.5000 0.7921
S1 0.0394 0.5000 0.7082
S2 0.2134 0.5000 0.5975
N1 0.0062 0.5000 0.9097
N2 0.0756 0.0000 0.4546
N3 0.1486 0.0000 0.1100
Cl1 0.1622 0.5000 0.2575
Cl2 0.1799 0.0000 0.8936

4.
A plane-wave DFT calculation with meta-GGA SCAN was carried out for a crystal of Pr6S4N3Cl relaxed with PBEsol.

Values from the calculation:
M_tot, Bohr magnetons per cell: 0.00
DFT total energy, eV per atom: -25.969
Formation energy without anion corrections, eV per atom: -2.09

a = 11.5700 Å, b = 4.0300 Å, c = 26.6059 Å
α = 90.00°, β = 90.00°, γ = 90.00°
Space group Pnma (No. 62)
One atom of each set of equivalent atoms:
Pr1 0.0551 0.2500 0.1919
Pr2 0.0564 0.2500 0.9256
Pr3 0.0914 0.2500 0.4599
Pr4 0.1191 0.2500 0.7052
Pr5 0.2364 0.7500 0.5660
Pr6 0.2396 0.7500 0.8308
S1 0.0426 0.7500 0.6349
S2 0.1471 0.7500 0.0061
S3 0.1793 0.7500 0.1401
S4 0.2122 0.7500 0.3965
N1 0.0624 0.7500 0.8757
N2 0.0982 0.7500 0.5094
N3 0.1147 0.7500 0.7596
Cl1 0.1312 0.7500 0.2671

5.
A plane-wave DFT calculation with meta-GGA SCAN was carried out for a crystal of PtN2Cl2 relaxed with PBEsol.

Values from the calculation:
M_tot, Bohr magnetons per cell: 0.00
DFT total energy, eV per atom: -20.575
Formation energy without anion corrections, eV per atom: 0.37

a = 6.3551 Å, b = 6.3551 Å, c = 4.8557 Å
α = 90.00°, β = 90.00°, γ = 90.00°
Space group I4/mmm (No. 139)
One atom of each set of equivalent atoms:
Pt1 0.0000 0.0000 0.0000
N1 0.0000 0.0000 0.3835
Cl1 0.0000 0.5000 0.2500

6.
A plane-wave DFT calculation with meta-GGA SCAN was carried out for a crystal of Rb2N2Cl relaxed with PBEsol.

Values from the calculation:
M_tot, Bohr magnetons per cell: 2.00
DFT total energy, eV per atom: -14.552
Formation energy without anion corrections, eV per atom: -0.94

a = 7.9057 Å, b = 7.9057 Å, c = 3.7116 Å
α = 90.00°, β = 90.00°, γ = 90.00°
Space group P4/mbm (No. 127)
One atom of each set of equivalent atoms:
Rb1 0.2266 0.2734 0.0000
N1 0.0530 0.5530 0.5000
Cl1 0.0000 0.0000 0.5000

7.
A plane-wave DFT calculation with meta-GGA SCAN was carried out for a crystal of RbSeN2Cl relaxed with PBEsol.

Values from the calculation:
M_tot, Bohr magnetons per cell: 8.00
DFT total energy, eV per atom: -11.681
Formation energy without anion corrections, eV per atom: 1.79

a = 5.4902 Å, b = 5.4902 Å, c = 6.5754 Å
α = 90.00°, β = 90.00°, γ = 90.00°
Space group P4/mmm (No. 123)
One atom of each set of equivalent atoms:
Rb1 0.0000 0.0000 0.0000
Se1 0.0000 0.0000 0.5000
N1 0.0000 0.5000 0.0000
Cl1 0.5000 0.5000 0.5000

8.
A plane-wave DFT calculation with meta-GGA SCAN was carried out for a crystal of ReNCl3 relaxed with PBEsol.

Values from the calculation:
M_tot, Bohr magnetons per cell: 0.19
DFT total energy, eV per atom: -20.053
Formation energy without anion corrections, eV per atom: 0.81

a = 4.7348 Å, b = 4.7348 Å, c = 4.7348 Å
α = 90.00°, β = 90.00°, γ = 90.00°
Space group Pm-3m (No. 221)
One atom of each set of equivalent atoms:
Re1 0.0000 0.0000 0.0000
N1 0.5000 0.5000 0.5000
Cl1 0.0000 0.0000 0.5000

9.
A plane-wave DFT calculation with meta-GGA SCAN was carried out for a crystal of ReN2Cl relaxed with PBEsol.

Values from the calculation:
M_tot, Bohr magnetons per cell: 0.00
DFT total energy, eV per atom: -22.568
Formation energy without anion corrections, eV per atom: 1.85

a = 2.9245 Å, b = 2.9245 Å, c = 19.8763 Å
α = 90.00°, β = 90.00°, γ = 120.00°
Space group R-3m (No. 166, hexagonal axes)
One atom of each set of equivalent atoms:
Re1 0.0000 0.0000 0.0000
N1 0.0000 0.0000 0.0926
Cl1 0.0000 0.0000 0.5000

10.
A plane-wave DFT calculation with meta-GGA SCAN was carried out for a crystal of Re2NCl relaxed with PBEsol.

Values from the calculation:
M_tot, Bohr magnetons per cell: 0.00
DFT total energy, eV per atom: -38.051
Formation energy without anion corrections, eV per atom: 1.81

a = 5.7009 Å, b = 5.7009 Å, c = 5.7009 Å
α = 90.00°, β = 90.00°, γ = 90.00°
Space group Fm-3m (No. 225)
One atom of each set of equivalent atoms:
Re1 0.2500 0.2500 0.2500
N1 0.0000 0.0000 0.0000
Cl1 0.0000 0.0000 0.5000

11.
A plane-wave DFT calculation with meta-GGA SCAN was carried out for a crystal of Sc2ReNCl relaxed with PBEsol.

Values from the calculation:
M_tot, Bohr magnetons per cell: 0.92
DFT total energy, eV per atom: -23.090
Formation energy without anion corrections, eV per atom: 0.28

a = 4.2894 Å, b = 4.2894 Å, c = 4.3195 Å
α = 90.00°, β = 90.00°, γ = 90.00°
Space group P4/mmm (No. 123)
One atom of each set of equivalent atoms:
Sc1 0.0000 0.5000 0.0000
Re1 0.0000 0.0000 0.5000
N1 0.5000 0.5000 0.0000
Cl1 0.5000 0.5000 0.5000

12.
A plane-wave DFT calculation with meta-GGA SCAN was carried out for a crystal of RhNCl3 relaxed with PBEsol.

Values from the calculation:
M_tot, Bohr magnetons per cell: 1.77
DFT total energy, eV per atom: -12.730
Formation energy without anion corrections, eV per atom: 0.67

a = 4.6889 Å, b = 4.6889 Å, c = 4.6889 Å
α = 90.00°, β = 90.00°, γ = 90.00°
Space group Pm-3m (No. 221)
One atom of each set of equivalent atoms:
Rh1 0.0000 0.0000 0.0000
N1 0.5000 0.5000 0.5000
Cl1 0.0000 0.0000 0.5000

Q: What is the M_tot in the seventh record?
A: 8.00 Bohr magnetons per cell

Q: Which of these has the lowest formation energy without anion corrections?
A: Pr2NCl3